DFT (PBE) results for a relaxed structure of Sc4Al3.

## Properties
ΔE_f	-0.27	eV/atom
SG	No. 139
total DFT energy (no corrections)	-38.5	eV per formula unit

Structure (POSCAR):
```
Sc4Al3
1.0
1.9906 -8.2697 11.6761
4.2516 -4.6360 13.0043
-4.9924 7.2852 -11.4317
Sc Al
4 3
Direct
0.4317 0.4317 0.0000
0.5683 0.5683 0.0000
0.8467 0.8467 0.0000
0.1533 0.1533 0.0000
0.7216 0.7216 0.0000
0.2784 0.2784 0.0000
0.0000 0.0000 0.0000
```

DFT (PBE) results for a relaxed structure of SN.

## Properties
SG	No. 59
uncorrected formation energy	776	meV per atom
total DFT energy (no corrections)	-10.9	eV per formula unit

Structure (POSCAR):
```
SN
1.0
2.6120 0.0000 0.0000
0.0000 6.5557 0.0000
0.0000 0.0000 15.0783
N S
6 6
Direct
0.0000 0.1948 0.6792
0.5000 0.8052 0.1792
0.0000 0.2790 0.0000
0.5000 0.7210 0.5000
0.0000 0.1948 0.3208
0.5000 0.8052 0.8208
0.0000 0.7346 0.7624
0.5000 0.1307 0.0000
0.5000 0.2654 0.7376
0.0000 0.7346 0.2376
0.5000 0.2654 0.2624
0.0000 0.8693 0.5000
```

DFT (PBE) results for a relaxed structure of NdTl2I6.

## Properties
SG	No. 38
uncorrected formation energy	-823	meV per atom
total DFT energy (no corrections)	-26.2	eV per formula unit

Structure (POSCAR):
```
NdTl2I6
1.0
-4.5886 -0.2151 1.1626
1.3920 -7.8436 4.0427
0.9463 7.9370 5.2036
Nd I Tl
1 6 2
Direct
0.5000 0.0098 0.0000
0.0000 0.2609 0.0000
0.5000 0.6391 0.0000
0.5000 0.0010 0.6241
0.0000 0.7623 0.7664
0.0000 0.9959 0.2336
0.5000 0.3769 0.3759
0.0000 0.3005 0.6468
0.0000 0.6537 0.3532
```

DFT (PBE) results for a relaxed structure of PmY3As4.

## Properties
ΔE_f	-1.55	eV/atom
SG	No. 221
total DFT energy (no corrections)	-55.1	eV per formula unit

Structure (POSCAR):
```
PmY3As4
1.0
-0.4769 -5.3585 -2.3528
-0.6779 -2.2941 5.3623
-5.8129 0.7072 -0.4323
Pm As Y
1 4 3
Direct
0.0000 0.0000 0.0000
0.5000 0.5000 0.5000
0.5000 0.0000 0.0000
0.0000 0.5000 0.0000
0.0000 0.0000 0.5000
0.5000 0.5000 0.0000
0.5000 0.0000 0.5000
0.0000 0.5000 0.5000
```